A plane-wave DFT calculation with PBE was carried out for AuCl3 after structural relaxation.

The energy relative to the elements, uncorrected is 0.35 eV per atom. As for the raw total energy: -1.86 eV/atom.

The structure belongs to space group P-6m2 (No. 187); the cell edges are 3.6652, 3.6652 and 8.2341 Å and the angles 90.00°, 90.00° and 120.00°. The asymmetric unit holds Au at (0.0000, 0.0000, 0.0000), Cl at (0.0000, 0.0000, 0.5000) and Cl at (0.6667, 0.3333, 0.1971).